# TbHo2Si

TbHo2Si after structural relaxation (PBE, Alexandria via LeMat-Bulk).

Its space-group type is R-3m. Its uncorrected formation energy is 0.0207 eV/atom. The calculation puts the volume at 117 Å³ per cell. For the total energy, the calculation gives -4.782 eV/atom. The mass density is 7.316 g cm⁻³. Its crystal system is trigonal. Its energy above the most stable polymorph in this dataset is 278 meV/atom. For the magnetization, the calculation gives 0.13 Bohr magnetons per cell.

Lattice parameters (Å, degrees): 11.0293 11.0293 11.0293 18.44 18.44 18.44
Last column: nearest neighbours and their distance in Å.
Fractional coordinates of all 4 atoms:
Tb 0.0000 0.0000 0.0000  2 Ho 3.46, 6 Tb 3.54
Ho 0.1065 0.1065 0.1065  3 Si 2.83
Ho 0.8935 0.8935 0.8935  3 Si 2.83
Si 0.5000 0.5000 0.5000  6 Ho 2.83